No. 1
Density functional theory data (PBE) for a relaxed structure of EuTm2Pb.

Output
Energy of formation from the pure elements = -0.55 eV per formula unit
Spin magnetization = 7.54 Bohr magnetons per cell
Polymorph energy (0 for the lowest one) = 0.35 eV/f.u.
V = 125.0 Å³ per cell

Lattice parameters (Å, degrees): 3.6133 3.6133 9.5765 90.00 90.00 90.00
Space group P4/mmm (No. 123)
Asymmetric unit:
Eu1 0.0000 0.0000 0.0000 [1 per cell]
Tm1 0.5000 0.5000 0.2796 [2 per cell]
Pb1 0.0000 0.0000 0.5000 [1 per cell]

No. 2
Density functional theory data (PBE) for a relaxed structure of EuTmPb2.

Output
Energy of formation from the pure elements = -1.42 eV per formula unit
Spin magnetization = 21.64 Bohr magnetons per cell
V = 373.1 Å³ per cell

Lattice parameters (Å, degrees): 3.7962 3.7962 29.8959 90.00 90.00 120.00
Space group R-3m (No. 166, hexagonal axes)
Asymmetric unit:
Eu1 0.0000 0.0000 0.0000 [3 per cell]
Tm1 0.0000 0.0000 0.5000 [3 per cell]
Pb1 0.0000 0.0000 0.2464 [6 per cell]

No. 3
Density functional theory data (PBE) for a relaxed structure of EuTmPb.

Output
Energy of formation from the pure elements = -0.74 eV per formula unit
Spin magnetization = 16.90 Bohr magnetons per cell
V = 187.2 Å³ per cell

Lattice parameters (Å, degrees): 4.0673 4.0673 11.3178 90.00 90.00 90.00
Space group I4mm (No. 107)
Asymmetric unit:
Eu1 0.0000 0.0000 0.0000 [2 per cell]
Tm1 0.0000 0.0000 0.6959 [2 per cell]
Pb1 0.0000 0.0000 0.3277 [2 per cell]

Copy entry 1 word for word.
Density functional theory data (PBE) for a relaxed structure of EuTm2Pb.

Output
Energy of formation from the pure elements = -0.55 eV per formula unit
Spin magnetization = 7.54 Bohr magnetons per cell
Polymorph energy (0 for the lowest one) = 0.35 eV/f.u.
V = 125.0 Å³ per cell

Lattice parameters (Å, degrees): 3.6133 3.6133 9.5765 90.00 90.00 90.00
Space group P4/mmm (No. 123)
Asymmetric unit:
Eu1 0.0000 0.0000 0.0000 [1 per cell]
Tm1 0.5000 0.5000 0.2796 [2 per cell]
Pb1 0.0000 0.0000 0.5000 [1 per cell]

Question: Look up the V of the second one.
Answer: 373.1 Å³ per cell

Question: What is the formula in the second record?
Answer: EuTmPb2

Copy entry 2 word for word.
Density functional theory data (PBE) for a relaxed structure of EuTmPb2.

Output
Energy of formation from the pure elements = -1.42 eV per formula unit
Spin magnetization = 21.64 Bohr magnetons per cell
V = 373.1 Å³ per cell

Lattice parameters (Å, degrees): 3.7962 3.7962 29.8959 90.00 90.00 120.00
Space group R-3m (No. 166, hexagonal axes)
Asymmetric unit:
Eu1 0.0000 0.0000 0.0000 [3 per cell]
Tm1 0.0000 0.0000 0.5000 [3 per cell]
Pb1 0.0000 0.0000 0.2464 [6 per cell]